Record 1
A plane-wave DFT calculation with PBE-GGA was carried out for an optimized crystal structure of VAg8Se6.

The structure in CIF format:
```
data_VAg8Se6
_chemical_formula_sum 'V2 Ag16 Se12'
_symmetry_space_group_name_H-M 'P m n 21'
_symmetry_Int_Tables_number 31
_cell_length_a 8.0773
_cell_length_b 7.7312
_cell_length_c 10.9087
_cell_angle_alpha 90.00
_cell_angle_beta 90.00
_cell_angle_gamma 90.00
loop_
_symmetry_equiv_pos_as_xyz
'x,y,z'
'-x+1/2,-y,z+1/2'
'-x,y,z'
'x+1/2,-y,z+1/2'
loop_
_atom_site_label
_atom_site_type_symbol
_atom_site_fract_x
_atom_site_fract_y
_atom_site_fract_z
_atom_site_occupancy
V1 V 0.0000 0.2299 0.0000 1
Ag1 Ag 0.0000 0.7909 0.9569 1
Ag2 Ag 0.0000 0.8808 0.5210 1
Ag3 Ag 0.1899 0.9685 0.7532 1
Ag4 Ag 0.2073 0.3943 0.3435 1
Ag5 Ag 0.2247 0.3353 0.6344 1
Se1 Se 0.0000 0.9997 0.1420 1
Se2 Se 0.0000 0.2206 0.4875 1
Se3 Se 0.0000 0.4752 0.1307 1
Se4 Se 0.0000 0.6824 0.7258 1
Se5 Se 0.2471 0.2515 0.8840 1
```

E: -3.693 eV per atom
Formation energy without anion corrections: -2.6 eV per formula unit
Total moment: 1.97 μB per cell

=====

Record 2
A plane-wave DFT calculation with PBE-GGA was carried out for an optimized crystal structure of VAgSe3.

The structure in CIF format:
```
data_VAgSe3
_chemical_formula_sum 'V6 Ag6 Se18'
_symmetry_space_group_name_H-M 'R -3'
_symmetry_Int_Tables_number 148
_symmetry_space_group_name_Hall '-R 3'
_cell_length_a 6.5063
_cell_length_b 6.5063
_cell_length_c 18.2789
_cell_angle_alpha 90.00
_cell_angle_beta 90.00
_cell_angle_gamma 120.00
loop_
_atom_site_label
_atom_site_type_symbol
_atom_site_fract_x
_atom_site_fract_y
_atom_site_fract_z
_atom_site_occupancy
V1 V 0.0000 0.0000 0.1854 1
Ag1 Ag 0.0000 0.0000 0.3539 1
Se1 Se 0.0100 0.3688 0.5751 1
```

E: -4.819 eV per atom
Formation energy without anion corrections: -1.7 eV per formula unit
Total moment: 0.01 μB per cell
Distance to the lowest polymorph of the same formula: 0 meV per atom

=====

total moment of number 2 (VAgSe3)?
0.01 μB per cell

=====

Number 1 is which compound?
VAg8Se6

=====

Among the records above, which one has the highest E?
VAg8Se6

=====

What is the total moment in the second record?
0.01 μB per cell